Entry 1:
## TaZnPCl2 (PBEsol)

Data for TaZnPCl2 after structural relaxation.

Properties
ΔE_f (raw)   -116 meV/atom
M_tot   0.00 Bohr magnetons per cell
Energy   -4.904 eV per atom

abc: 4.752 4.752 4.905
angles: 90.00 90.00 90.00
Fractional coordinates of all 5 atoms:
Ta (0.000, 0.000, 0.000)
Zn (0.500, 0.500, 0.500)
P (0.000, 0.000, 0.500)
Cl (0.000, 0.500, 0.000)
Cl (0.500, 0.000, 0.000)



Entry 2:
## Tc2PCl (PBEsol)

Data for Tc2PCl after structural relaxation.

Properties
ΔE_f (raw)   757 meV/atom
M_tot   0.00 Bohr magnetons per cell
Energy   -6.826 eV per atom

abc: 4.316 4.316 4.316
angles: 60.00 60.00 60.00
Fractional coordinates of all 4 atoms:
Tc (0.000, 0.000, 0.000)
Tc (0.250, 0.250, 0.250)
P (0.750, 0.750, 0.750)
Cl (0.500, 0.500, 0.500)



Entry 3:
## TcP2Cl (PBEsol)

Data for TcP2Cl after structural relaxation.

Properties
Offset from the most stable computed form   518 meV/atom
ΔE_f (raw)   321 meV/atom
M_tot   0.00 Bohr magnetons per cell
Energy   -5.893 eV per atom

abc: 5.713 5.713 5.713
angles: 151.46 135.09 54.08
Fractional coordinates of all 4 atoms:
Tc (0.000, 0.000, 0.000)
P (0.196, 0.696, 0.500)
P (0.804, 0.304, 0.500)
Cl (0.500, 0.500, 0.000)



Entry 4:
## TcPCl2 (PBEsol)

Data for TcPCl2 after structural relaxation.

Properties
Offset from the most stable computed form   655 meV/atom
ΔE_f (raw)   326 meV/atom
M_tot   0.00 Bohr magnetons per cell
Energy   -4.943 eV per atom

abc: 9.315 9.315 9.315
angles: 18.29 18.29 18.29
Fractional coordinates of all 4 atoms:
Tc (0.000, 0.000, 0.000)
P (0.500, 0.500, 0.500)
Cl (0.271, 0.271, 0.271)
Cl (0.729, 0.729, 0.729)



Entry 5:
## TcP2Cl (PBEsol)

Data for TcP2Cl after structural relaxation.

Properties
Offset from the most stable computed form   566 meV/atom
ΔE_f (raw)   369 meV/atom
M_tot   0.00 Bohr magnetons per cell
Energy   -5.845 eV per atom

abc: 2.966 2.966 8.599
angles: 90.00 90.00 122.02
Fractional coordinates of all 4 atoms:
Tc (0.000, 0.000, 0.000)
P (0.000, 0.000, 0.567)
P (0.500, 0.500, 0.779)
Cl (0.500, 0.500, 0.220)



Entry 6:
## TcPCl2 (PBEsol)

Data for TcPCl2 after structural relaxation.

Properties
Offset from the most stable computed form   454 meV/atom
ΔE_f (raw)   124 meV/atom
M_tot   0.00 Bohr magnetons per cell
Energy   -5.144 eV per atom

abc: 6.135 6.135 6.135
angles: 151.69 136.78 52.47
Fractional coordinates of all 4 atoms:
Tc (0.000, 0.000, 0.000)
P (0.845, 0.345, 0.500)
Cl (0.186, 0.686, 0.500)
Cl (0.489, 0.489, 0.000)



Question: Which of these has the highest energy?
Answer: TaZnPCl2



Question: Look up the ΔE_f (raw) of the sixth one.
Answer: 124 meV/atom